First-principles (PBE) data for a relaxed ErH crystal, as listed in OQMD via LeMat-Bulk.

Values from the calculation:
SG: F-43m (216)
Calculated total energy: -4.3803 eV/atom

Lattice parameters (Å, degrees): 3.6056 3.6056 3.6056 60.00 60.00 60.00
Element x y z (fractional)
H: 0.2500 0.2500 0.2500
Er: 0.0000 0.0000 0.0000